No. 1
A plane-wave DFT calculation with GGA-PBE was carried out for crystalline BaNaH2Br at its relaxed geometry.

Results
As for the density of states at the Fermi level: 0.0 states/eV per cell. As for the space group: Cmcm. The total energy is -32.56 eV/cell.

Unit cell a=6.680 b=6.680 c=7.861 alpha=90.00 beta=90.00 gamma=142.19
Element x y z (fractional)
1 Ba 0.229 0.771 0.750
2 Ba 0.771 0.229 0.250
3 Na 0.500 0.500 0.000
4 Na 0.500 0.500 0.500
5 H 0.328 0.672 0.060
6 H 0.328 0.672 0.440
7 H 0.672 0.328 0.560
8 H 0.672 0.328 0.940
9 Br 0.051 0.949 0.250
10 Br 0.949 0.051 0.750

No. 2
A plane-wave DFT calculation with GGA-PBE was carried out for crystalline BaHBrO at its relaxed geometry.

Results
As for the density of states at the Fermi level: 0.0 states/eV per cell. As for the space group: Pnma. The total energy is -79.55 eV/cell.

Unit cell a=7.661 b=4.421 c=10.863 alpha=90.00 beta=90.00 gamma=90.00
Element x y z (fractional)
1 Ba 0.197 0.250 0.091
2 Ba 0.303 0.750 0.591
3 Ba 0.697 0.250 0.409
4 Ba 0.803 0.750 0.909
5 H 0.233 0.750 0.903
6 H 0.267 0.250 0.403
7 H 0.733 0.750 0.597
8 H 0.767 0.250 0.097
9 Br 0.038 0.750 0.322
10 Br 0.462 0.250 0.822
11 Br 0.538 0.750 0.178
12 Br 0.962 0.250 0.678
13 O 0.140 0.750 0.964
14 O 0.360 0.250 0.464
15 O 0.640 0.750 0.536
16 O 0.860 0.250 0.036

No. 3
A plane-wave DFT calculation with GGA-PBE was carried out for crystalline BaHBrO at its relaxed geometry.

Results
As for the density of states at the Fermi level: 0.0 states/eV per cell. As for the space group: P3m1. The total energy is -19.83 eV/cell.

Unit cell a=4.529 b=4.529 c=5.200 alpha=90.00 beta=90.00 gamma=120.00
Element x y z (fractional)
1 Ba 0.000 0.000 0.000
2 H 0.333 0.667 0.285
3 Br 0.667 0.333 0.564
4 O 0.333 0.667 0.097

No. 4
A plane-wave DFT calculation with GGA-PBE was carried out for crystalline BaHBr2O8 at its relaxed geometry.

Results
As for the density of states at the Fermi level: 2.0 states/eV per cell. As for the space group: C2/m. The total energy is -49.32 eV/cell.

Unit cell a=6.309 b=6.309 c=7.162 alpha=117.99 beta=117.99 gamma=48.83
Element x y z (fractional)
1 Ba 0.000 0.000 0.000
2 H 0.500 0.500 0.500
3 Br 0.190 0.190 0.675
4 Br 0.810 0.810 0.325
5 O 0.157 0.617 0.302
6 O 0.171 0.171 0.430
7 O 0.362 0.362 0.857
8 O 0.383 0.843 0.698
9 O 0.617 0.157 0.302
10 O 0.638 0.638 0.143
11 O 0.829 0.829 0.570
12 O 0.843 0.383 0.698

No. 5
A plane-wave DFT calculation with GGA-PBE was carried out for crystalline BaHBr2O6 at its relaxed geometry.

Results
As for the density of states at the Fermi level: 0.0 states/eV per cell. As for the space group: C2/c. The total energy is -84.60 eV/cell.

Unit cell a=7.550 b=7.550 c=8.534 alpha=120.66 beta=120.66 gamma=69.29
Element x y z (fractional)
1 Ba 0.160 0.840 0.750
2 Ba 0.840 0.160 0.250
3 H 0.208 0.792 0.250
4 H 0.792 0.208 0.750
5 Br 0.291 0.325 0.304
6 Br 0.325 0.291 0.804
7 Br 0.675 0.709 0.196
8 Br 0.709 0.675 0.696
9 O 0.106 0.175 0.639
10 O 0.175 0.106 0.139
11 O 0.207 0.413 0.485
12 O 0.245 0.545 0.905
13 O 0.413 0.207 0.985
14 O 0.455 0.755 0.595
15 O 0.545 0.245 0.405
16 O 0.587 0.793 0.015
17 O 0.755 0.455 0.095
18 O 0.793 0.587 0.515
19 O 0.825 0.894 0.861
20 O 0.894 0.825 0.361

No. 6
A plane-wave DFT calculation with GGA-PBE was carried out for crystalline BaH2Br2O7 at its relaxed geometry.

Results
As for the density of states at the Fermi level: 0.0 states/eV per cell. As for the space group: C2/c. The total energy is -111.92 eV/cell.

Unit cell a=7.745 b=7.745 c=9.143 alpha=124.37 beta=124.37 gamma=64.07
Element x y z (fractional)
1 Ba 0.140 0.860 0.750
2 Ba 0.860 0.140 0.250
3 H 0.223 0.701 0.136
4 H 0.299 0.777 0.364
5 H 0.701 0.223 0.636
6 H 0.777 0.299 0.864
7 Br 0.288 0.335 0.313
8 Br 0.335 0.288 0.813
9 Br 0.665 0.712 0.187
10 Br 0.712 0.665 0.687
11 O 0.115 0.179 0.635
12 O 0.179 0.115 0.135
13 O 0.192 0.808 0.250
14 O 0.219 0.408 0.489
15 O 0.247 0.554 0.904
16 O 0.408 0.219 0.989
17 O 0.446 0.753 0.596
18 O 0.554 0.247 0.404
19 O 0.592 0.781 0.011
20 O 0.753 0.446 0.096
21 O 0.781 0.592 0.511
22 O 0.808 0.192 0.750
23 O 0.821 0.885 0.865
24 O 0.885 0.821 0.365

No. 7
A plane-wave DFT calculation with GGA-PBE was carried out for crystalline Ba6P2H3Br at its relaxed geometry.

Results
As for the density of states at the Fermi level: 6.0 states/eV per cell. As for the space group: C2/m. The total energy is -43.87 eV/cell.

Unit cell a=9.809 b=9.809 c=8.883 alpha=101.34 beta=101.34 gamma=26.83
Element x y z (fractional)
1 Ba 0.004 0.004 0.234
2 Ba 0.325 0.325 0.409
3 Ba 0.333 0.333 0.924
4 Ba 0.667 0.667 0.076
5 Ba 0.675 0.675 0.591
6 Ba 0.996 0.996 0.766
7 P 0.161 0.161 0.826
8 P 0.839 0.839 0.174
9 H 0.169 0.169 0.346
10 H 0.500 0.500 0.000
11 H 0.831 0.831 0.654
12 Br 0.500 0.500 0.500

No. 8
A plane-wave DFT calculation with GGA-PBE was carried out for crystalline BaPHBr2 at its relaxed geometry.

Results
As for the density of states at the Fermi level: 1.0 states/eV per cell. As for the space group: P4/mmm. The total energy is -16.35 eV/cell.

Unit cell a=5.653 b=5.653 c=3.802 alpha=90.00 beta=90.00 gamma=90.00
Element x y z (fractional)
1 Ba 0.000 0.000 0.000
2 P 0.500 0.500 0.000
3 H 0.500 0.500 0.500
4 Br 0.000 0.500 0.500
5 Br 0.500 0.000 0.500

No. 9
A plane-wave DFT calculation with GGA-PBE was carried out for crystalline Ba8P3HBr4 at its relaxed geometry.

Results
As for the density of states at the Fermi level: 7.4 states/eV per cell. As for the space group: R-3m. The total energy is -63.85 eV/cell.

Unit cell a=9.487 b=9.487 c=9.487 alpha=58.50 beta=58.50 gamma=58.50
Element x y z (fractional)
1 Ba 0.232 0.743 0.743
2 Ba 0.240 0.240 0.240
3 Ba 0.257 0.257 0.768
4 Ba 0.257 0.768 0.257
5 Ba 0.743 0.232 0.743
6 Ba 0.743 0.743 0.232
7 Ba 0.760 0.760 0.760
8 Ba 0.768 0.257 0.257
9 P 0.000 0.000 0.500
10 P 0.000 0.500 0.000
11 P 0.500 0.000 0.000
12 H 0.500 0.500 0.500
13 Br 0.000 0.000 0.000
14 Br 0.000 0.500 0.500
15 Br 0.500 0.000 0.500
16 Br 0.500 0.500 0.000

No. 10
A plane-wave DFT calculation with GGA-PBE was carried out for crystalline Ba8P3HBr3 at its relaxed geometry.

Results
As for the density of states at the Fermi level: 4.4 states/eV per cell. As for the space group: R-3m. The total energy is -58.61 eV/cell.

Unit cell a=9.456 b=9.456 c=9.456 alpha=59.21 beta=59.21 gamma=59.21
Element x y z (fractional)
1 Ba 0.225 0.750 0.750
2 Ba 0.241 0.241 0.241
3 Ba 0.250 0.250 0.775
4 Ba 0.250 0.775 0.250
5 Ba 0.750 0.225 0.750
6 Ba 0.750 0.750 0.225
7 Ba 0.759 0.759 0.759
8 Ba 0.775 0.250 0.250
9 P 0.000 0.000 0.500
10 P 0.000 0.500 0.000
11 P 0.500 0.000 0.000
12 H 0.500 0.500 0.500
13 Br 0.000 0.500 0.500
14 Br 0.500 0.000 0.500
15 Br 0.500 0.500 0.000

No. 11
A plane-wave DFT calculation with GGA-PBE was carried out for crystalline Ba2HPdBr at its relaxed geometry.

Results
As for the density of states at the Fermi level: 2.5 states/eV per cell. As for the space group: P4/mmm. The total energy is -18.30 eV/cell.

Unit cell a=5.831 b=5.831 c=3.834 alpha=90.00 beta=90.00 gamma=90.00
Element x y z (fractional)
1 Ba 0.000 0.500 0.000
2 Ba 0.500 0.000 0.000
3 H 0.000 0.000 0.000
4 Pd 0.000 0.000 0.500
5 Br 0.500 0.500 0.500

No. 12
A plane-wave DFT calculation with GGA-PBE was carried out for crystalline Ba8HPt3Br3 at its relaxed geometry.

Results
As for the density of states at the Fermi level: 10.4 states/eV per cell. As for the space group: C2/m. The total energy is -57.48 eV/cell.

Unit cell a=9.129 b=9.129 c=9.724 alpha=118.05 beta=118.05 gamma=59.99
Element x y z (fractional)
1 Ba 0.236 0.738 0.712
2 Ba 0.238 0.238 0.714
3 Ba 0.262 0.262 0.288
4 Ba 0.262 0.764 0.288
5 Ba 0.738 0.236 0.712
6 Ba 0.738 0.738 0.712
7 Ba 0.762 0.762 0.286
8 Ba 0.764 0.262 0.288
9 H 0.500 0.500 0.500
10 Pt 0.000 0.000 0.500
11 Pt 0.000 0.500 0.500
12 Pt 0.500 0.000 0.500
13 Br 0.000 0.500 0.000
14 Br 0.500 0.000 0.000
15 Br 0.500 0.500 0.000

No. 13
A plane-wave DFT calculation with GGA-PBE was carried out for crystalline Ba6HPt2Br2 at its relaxed geometry.

Results
As for the density of states at the Fermi level: 8.2 states/eV per cell. As for the space group: C2/m. The total energy is -40.98 eV/cell.

Unit cell a=7.840 b=7.840 c=8.549 alpha=99.01 beta=99.01 gamma=119.53
Element x y z (fractional)
1 Ba 0.094 0.426 0.785
2 Ba 0.239 0.239 0.208
3 Ba 0.426 0.094 0.785
4 Ba 0.574 0.906 0.215
5 Ba 0.761 0.761 0.792
6 Ba 0.906 0.574 0.215
7 H 0.500 0.500 0.000
8 Pt 0.171 0.829 0.000
9 Pt 0.829 0.171 0.000
10 Br 0.333 0.667 0.500
11 Br 0.667 0.333 0.500

No. 14
A plane-wave DFT calculation with GGA-PBE was carried out for crystalline Ba8HPt3Br4 at its relaxed geometry.

Results
As for the density of states at the Fermi level: 11.0 states/eV per cell. As for the space group: R-3m. The total energy is -62.73 eV/cell.

Unit cell a=9.834 b=9.834 c=9.834 alpha=54.62 beta=54.62 gamma=54.62
Element x y z (fractional)
1 Ba 0.236 0.737 0.737
2 Ba 0.238 0.238 0.238
3 Ba 0.263 0.263 0.764
4 Ba 0.263 0.764 0.263
5 Ba 0.737 0.236 0.737
6 Ba 0.737 0.737 0.236
7 Ba 0.762 0.762 0.762
8 Ba 0.764 0.263 0.263
9 H 0.500 0.500 0.500
10 Pt 0.000 0.000 0.500
11 Pt 0.000 0.500 0.000
12 Pt 0.500 0.000 0.000
13 Br 0.000 0.000 0.000
14 Br 0.000 0.500 0.500
15 Br 0.500 0.000 0.500
16 Br 0.500 0.500 0.000

No. 15
A plane-wave DFT calculation with GGA-PBE was carried out for crystalline RbBaH2Br at its relaxed geometry.

Results
As for the density of states at the Fermi level: 0.0 states/eV per cell. As for the space group: P4/mmm. The total energy is -15.35 eV/cell.

Unit cell a=5.137 b=5.137 c=6.504 alpha=90.00 beta=90.00 gamma=90.00
Element x y z (fractional)
1 Rb 0.000 0.000 0.000
2 Ba 0.500 0.500 0.500
3 H 0.000 0.500 0.500
4 H 0.500 0.000 0.500
5 Br 0.500 0.500 0.000

No. 16
A plane-wave DFT calculation with GGA-PBE was carried out for crystalline Ba8HRh3Br3 at its relaxed geometry.

Results
As for the density of states at the Fermi level: 8.1 states/eV per cell. As for the space group: R-3m. The total energy is -57.49 eV/cell.

Unit cell a=9.665 b=9.665 c=9.665 alpha=55.78 beta=55.78 gamma=55.78
Element x y z (fractional)
1 Ba 0.231 0.739 0.739
2 Ba 0.238 0.238 0.238
3 Ba 0.261 0.261 0.769
4 Ba 0.261 0.769 0.261
5 Ba 0.739 0.231 0.739
6 Ba 0.739 0.739 0.231
7 Ba 0.762 0.762 0.762
8 Ba 0.769 0.261 0.261
9 H 0.500 0.500 0.500
10 Rh 0.000 0.000 0.500
11 Rh 0.000 0.500 0.000
12 Rh 0.500 0.000 0.000
13 Br 0.000 0.500 0.500
14 Br 0.500 0.000 0.500
15 Br 0.500 0.500 0.000

No. 17
A plane-wave DFT calculation with GGA-PBE was carried out for crystalline Ba2HRhBr at its relaxed geometry.

Results
For the distance to the lowest polymorph of the same formula, the calculation gives 0 meV/atom. As for the density of states at the Fermi level: 2.3 states/eV per cell. As for the space group: P4/mmm. The total energy is -20.10 eV/cell.

Unit cell a=5.773 b=5.773 c=3.761 alpha=90.00 beta=90.00 gamma=90.00
Element x y z (fractional)
1 Ba 0.000 0.500 0.000
2 Ba 0.500 0.000 0.000
3 H 0.000 0.000 0.000
4 Rh 0.000 0.000 0.500
5 Br 0.500 0.500 0.500

No. 18
A plane-wave DFT calculation with GGA-PBE was carried out for crystalline Ba8HRh3Br4 at its relaxed geometry.

Results
As for the density of states at the Fermi level: 7.5 states/eV per cell. As for the space group: R-3m. The total energy is -62.88 eV/cell.

Unit cell a=9.727 b=9.727 c=9.727 alpha=55.06 beta=55.06 gamma=55.06
Element x y z (fractional)
1 Ba 0.229 0.739 0.739
2 Ba 0.239 0.239 0.239
3 Ba 0.261 0.261 0.771
4 Ba 0.261 0.771 0.261
5 Ba 0.739 0.229 0.739
6 Ba 0.739 0.739 0.229
7 Ba 0.761 0.761 0.761
8 Ba 0.771 0.261 0.261
9 H 0.500 0.500 0.500
10 Rh 0.000 0.000 0.500
11 Rh 0.000 0.500 0.000
12 Rh 0.500 0.000 0.000
13 Br 0.000 0.000 0.000
14 Br 0.000 0.500 0.500
15 Br 0.500 0.000 0.500
16 Br 0.500 0.500 0.000

No. 19
A plane-wave DFT calculation with GGA-PBE was carried out for crystalline Ba6HRh2Br3 at its relaxed geometry.

Results
As for the density of states at the Fermi level: 6.1 states/eV per cell. As for the space group: C2/m. The total energy is -46.35 eV/cell.

Unit cell a=7.704 b=7.704 c=8.677 alpha=98.53 beta=98.53 gamma=119.97
Element x y z (fractional)
1 Ba 0.096 0.431 0.792
2 Ba 0.235 0.235 0.210
3 Ba 0.431 0.096 0.792
4 Ba 0.569 0.904 0.208
5 Ba 0.765 0.765 0.790
6 Ba 0.904 0.569 0.208
7 H 0.500 0.500 0.000
8 Rh 0.166 0.834 0.000
9 Rh 0.834 0.166 0.000
10 Br 0.000 0.000 0.500
11 Br 0.330 0.670 0.500
12 Br 0.670 0.330 0.500

No. 20
A plane-wave DFT calculation with GGA-PBE was carried out for crystalline Ba2HRhBr at its relaxed geometry.

Results
For the distance to the lowest polymorph of the same formula, the calculation gives 522 meV/atom. As for the density of states at the Fermi level: 1.7 states/eV per cell. As for the space group: P4/mmm. The total energy is -17.49 eV/cell.

Unit cell a=5.538 b=5.538 c=4.242 alpha=90.00 beta=90.00 gamma=90.00
Element x y z (fractional)
1 Ba 0.000 0.500 0.000
2 Ba 0.500 0.000 0.000
3 H 0.000 0.000 0.000
4 Rh 0.500 0.500 0.500
5 Br 0.000 0.000 0.500